Material: PmGeRu
Method: DFT, GGA-PBE
State: relaxed

Calculated volume   63.4 Å³/f.u.
N(E_F)   11.07 states/eV per cell
ΔE to the lowest computed polymorph   402.2 meV/atom
ΔE_f   -0.28 eV per atom

```
data_PmGeRu
_cell_length_a 5.7077
_cell_length_b 7.7078
_cell_length_c 5.7648
_cell_angle_alpha 90.00
_cell_angle_beta 90.00
_cell_angle_gamma 90.00
_symmetry_space_group_name_H-M 'C m c m'
_symmetry_Int_Tables_number 63
_symmetry_space_group_name_Hall '-C 2c 2'
loop_
_atom_site_label
_atom_site_type_symbol
_atom_site_fract_x
_atom_site_fract_y
_atom_site_fract_z
Pm1 Pm 0.0000 0.1541 0.2500
Ge1 Ge 0.0000 0.2372 0.7500
Ru1 Ru 0.0000 0.5000 0.0000
```

Material: CaGaAgAu2
Method: DFT, GGA-PBE
State: relaxed

Calculated volume   107.8 Å³/f.u.
N(E_F)   4.46 states/eV per cell
ΔE_f   -0.44 eV per atom

```
data_CaGaAgAu2
_cell_length_a 4.0537
_cell_length_b 4.0537
_cell_length_c 13.1260
_cell_angle_alpha 90.00
_cell_angle_beta 90.00
_cell_angle_gamma 90.00
_symmetry_space_group_name_H-M 'I -4 m 2'
_symmetry_Int_Tables_number 119
_symmetry_space_group_name_Hall 'I -4 -2'
loop_
_atom_site_label
_atom_site_type_symbol
_atom_site_fract_x
_atom_site_fract_y
_atom_site_fract_z
Ca1 Ca 0.0000 0.0000 0.0000
Ga1 Ga 0.0000 0.5000 0.2500
Ag1 Ag 0.0000 0.5000 0.7500
Au1 Au 0.0000 0.0000 0.3961
```

Material: HfAlPb3
Method: DFT, GGA-PBE
State: relaxed

Calculated volume   152.2 Å³/f.u.
N(E_F)   4.02 states/eV per cell
ΔE to the lowest computed polymorph   291.4 meV/atom
ΔE_f   0.86 eV per atom

```
data_HfAlPb3
_cell_length_a 5.3396
_cell_length_b 5.3396
_cell_length_c 5.3396
_cell_angle_alpha 90.00
_cell_angle_beta 90.00
_cell_angle_gamma 90.00
_symmetry_space_group_name_H-M 'P m -3 m'
_symmetry_Int_Tables_number 221
_symmetry_space_group_name_Hall '-P 4 2 3'
loop_
_atom_site_label
_atom_site_type_symbol
_atom_site_fract_x
_atom_site_fract_y
_atom_site_fract_z
Hf1 Hf 0.0000 0.0000 0.0000
Al1 Al 0.5000 0.5000 0.5000
Pb1 Pb 0.0000 0.5000 0.5000
```

Material: LiNd3Ho3S8
Method: DFT, GGA-PBE
State: relaxed

Calculated volume   348.6 Å³/f.u.
N(E_F)   13.38 states/eV per cell
Uncorrected formation energy   -1.9851 eV/atom

```
data_LiNd3Ho3S8
_cell_length_a 7.8677
_cell_length_b 7.8677
_cell_length_c 19.5097
_cell_angle_alpha 90.00
_cell_angle_beta 90.00
_cell_angle_gamma 120.00
_symmetry_space_group_name_H-M 'R -3 m'
_symmetry_Int_Tables_number 166
_symmetry_space_group_name_Hall '-R 3 2"'
loop_
_atom_site_label
_atom_site_type_symbol
_atom_site_fract_x
_atom_site_fract_y
_atom_site_fract_z
Li1 Li 0.0000 0.0000 0.0000
Nd1 Nd 0.0000 0.5000 0.5000
Ho1 Ho 0.0000 0.5000 0.0000
S1 S 0.0000 0.0000 0.2548
S2 S 0.0014 0.5007 0.7447
```

Material: LiRe2AsPb
Method: DFT, GGA-PBE
State: relaxed

Calculated volume   82.8 Å³/f.u.
N(E_F)   7.42 states/eV per cell
ΔE_f   1.42 eV per atom

```
data_LiRe2AsPb
_cell_length_a 4.5378
_cell_length_b 4.5378
_cell_length_c 4.0221
_cell_angle_alpha 90.00
_cell_angle_beta 90.00
_cell_angle_gamma 90.00
_symmetry_space_group_name_H-M 'P 4/m m m'
_symmetry_Int_Tables_number 123
_symmetry_space_group_name_Hall '-P 4 2'
loop_
_atom_site_label
_atom_site_type_symbol
_atom_site_fract_x
_atom_site_fract_y
_atom_site_fract_z
Li1 Li 0.0000 0.0000 0.0000
Re1 Re 0.0000 0.5000 0.0000
As1 As 0.0000 0.0000 0.5000
Pb1 Pb 0.5000 0.5000 0.5000
```

Material: Y2ScPbN
Method: DFT, GGA-PBE
State: relaxed

Calculated volume   106.2 Å³/f.u.
N(E_F)   3.25 states/eV per cell
Uncorrected formation energy   -0.9841 eV/atom

```
data_Y2ScPbN
_cell_length_a 4.8595
_cell_length_b 4.8595
_cell_length_c 4.4979
_cell_angle_alpha 90.00
_cell_angle_beta 90.00
_cell_angle_gamma 90.00
_symmetry_space_group_name_H-M 'P 4/m m m'
_symmetry_Int_Tables_number 123
_symmetry_space_group_name_Hall '-P 4 2'
loop_
_atom_site_label
_atom_site_type_symbol
_atom_site_fract_x
_atom_site_fract_y
_atom_site_fract_z
Y1 Y 0.0000 0.5000 0.0000
Sc1 Sc 0.0000 0.0000 0.5000
Pb1 Pb 0.5000 0.5000 0.5000
N1 N 0.0000 0.0000 0.0000
```

Material: PRuRh2
Method: DFT, GGA-PBE
State: relaxed

Calculated volume   55.1 Å³/f.u.
N(E_F)   5.27 states/eV per cell
ΔE_f   -0.12 eV per atom

```
data_PRuRh2
_cell_length_a 2.8620
_cell_length_b 3.8839
_cell_length_c 5.1343
_cell_angle_alpha 90.00
_cell_angle_beta 104.94
_cell_angle_gamma 90.00
_symmetry_space_group_name_H-M 'P 1 2/m 1'
_symmetry_Int_Tables_number 10
loop_
_symmetry_equiv_pos_as_xyz
'x,y,z'
'-x,-y,-z'
'-x,y,-z'
'x,-y,z'
loop_
_atom_site_label
_atom_site_type_symbol
_atom_site_fract_x
_atom_site_fract_y
_atom_site_fract_z
P1 P 0.0000 0.0000 0.0000
Ru1 Ru 0.0000 0.0000 0.5000
Rh1 Rh 0.3650 0.5000 0.2365
```

Material: La3Y5Er2
Method: DFT, GGA-PBE
State: relaxed

Calculated volume   339.3 Å³/f.u.
N(E_F)   70.98 states/eV per cell
ΔE_f   0.19 eV per atom

```
data_La3Y5Er2
_cell_length_a 10.8174
_cell_length_b 16.4972
_cell_length_c 9.3213
_cell_angle_alpha 90.00
_cell_angle_beta 125.33
_cell_angle_gamma 90.00
_symmetry_space_group_name_H-M 'C 1 2/c 1'
_symmetry_Int_Tables_number 15
loop_
_symmetry_equiv_pos_as_xyz
'x,y,z'
'-x,-y,-z'
'-x,y,-z+1/2'
'x,-y,z+1/2'
'x+1/2,y+1/2,z'
'-x+1/2,-y+1/2,-z'
'-x+1/2,y+1/2,-z+1/2'
'x+1/2,-y+1/2,z+1/2'
loop_
_atom_site_label
_atom_site_type_symbol
_atom_site_fract_x
_atom_site_fract_y
_atom_site_fract_z
La1 La 0.0000 0.2326 0.2500
La2 La 0.1436 0.1268 0.0460
Y1 Y 0.0000 0.0259 0.2500
Y2 Y 0.0000 0.2753 0.7500
Y3 Y 0.0000 0.4705 0.7500
Y4 Y 0.2382 0.3864 0.2300
Er1 Er 0.1493 0.3824 0.5427
```

Material: Ho2ThCu
Method: DFT, GGA-PBE
State: relaxed

Calculated volume   108.8 Å³/f.u.
N(E_F)   16.25 states/eV per cell
ΔE to the lowest computed polymorph   130.4 meV/atom
ΔE_f   0.03 eV per atom

```
data_Ho2ThCu
_cell_length_a 3.5887
_cell_length_b 3.5887
_cell_length_c 29.2575
_cell_angle_alpha 90.00
_cell_angle_beta 90.00
_cell_angle_gamma 120.00
_symmetry_space_group_name_H-M 'R -3 m'
_symmetry_Int_Tables_number 166
_symmetry_space_group_name_Hall '-R 3 2"'
loop_
_atom_site_label
_atom_site_type_symbol
_atom_site_fract_x
_atom_site_fract_y
_atom_site_fract_z
Ho1 Ho 0.0000 0.0000 0.2349
Th1 Th 0.0000 0.0000 0.0000
Cu1 Cu 0.0000 0.0000 0.5000
```

Material: Tm3Zn2Rh
Method: DFT, GGA-PBE
State: relaxed

Calculated volume   125.8 Å³/f.u.
N(E_F)   3.64 states/eV per cell
ΔE_f   -0.57 eV per atom

```
data_Tm3Zn2Rh
_cell_length_a 3.4776
_cell_length_b 3.4776
_cell_length_c 10.4061
_cell_angle_alpha 90.00
_cell_angle_beta 90.00
_cell_angle_gamma 90.00
_symmetry_space_group_name_H-M 'P 4/m m m'
_symmetry_Int_Tables_number 123
_symmetry_space_group_name_Hall '-P 4 2'
loop_
_atom_site_label
_atom_site_type_symbol
_atom_site_fract_x
_atom_site_fract_y
_atom_site_fract_z
Tm1 Tm 0.0000 0.0000 0.0000
Tm2 Tm 0.0000 0.0000 0.3452
Zn1 Zn 0.5000 0.5000 0.1681
Rh1 Rh 0.5000 0.5000 0.5000
```

Material: Cs3Sr5F12
Method: DFT, GGA-PBE
State: relaxed

Calculated volume   508.9 Å³/f.u.
N(E_F)   9.32 states/eV per cell
Uncorrected formation energy   -3.3530 eV/atom

```
data_Cs3Sr5F12
_cell_length_a 15.9679
_cell_length_b 15.9679
_cell_length_c 15.9679
_cell_angle_alpha 90.00
_cell_angle_beta 90.00
_cell_angle_gamma 90.00
_symmetry_space_group_name_H-M 'I a -3 d'
_symmetry_Int_Tables_number 230
_symmetry_space_group_name_Hall '-I 4bd 2c 3'
loop_
_atom_site_label
_atom_site_type_symbol
_atom_site_fract_x
_atom_site_fract_y
_atom_site_fract_z
Cs1 Cs 0.0000 0.2500 0.1250
Sr1 Sr 0.0000 0.0000 0.0000
Sr2 Sr 0.0000 0.2500 0.3750
F1 F 0.0304 0.0418 0.6456
```

Material: K2SiNiS4
Method: DFT, GGA-PBE
State: relaxed

Calculated volume   213.0 Å³/f.u.
N(E_F)   17.97 states/eV per cell
Uncorrected formation energy   -0.8294 eV/atom

```
data_K2SiNiS4
_cell_length_a 5.8132
_cell_length_b 12.9274
_cell_length_c 22.6738
_cell_angle_alpha 90.00
_cell_angle_beta 90.00
_cell_angle_gamma 90.00
_symmetry_space_group_name_H-M 'F d d d'
_symmetry_Int_Tables_number 70
loop_
_symmetry_equiv_pos_as_xyz
'x,y,z'
'-x,-y,-z'
'-x+1/4,-y+1/4,z'
'x+1/4,y+1/4,-z'
'x,-y+1/4,-z+1/4'
'-x,y+1/4,z+1/4'
'-x+1/4,y,-z+1/4'
'x+1/4,-y,z+1/4'
'x,y+1/2,z+1/2'
'-x,-y+1/2,-z+1/2'
'-x+1/4,-y+3/4,z+1/2'
'x+1/4,y+3/4,-z+1/2'
'x,-y+3/4,-z+3/4'
'-x,y+3/4,z+3/4'
'-x+1/4,y+1/2,-z+3/4'
'x+1/4,-y+1/2,z+3/4'
'x+1/2,y,z+1/2'
'-x+1/2,-y,-z+1/2'
'-x+3/4,-y+1/4,z+1/2'
'x+3/4,y+1/4,-z+1/2'
'x+1/2,-y+1/4,-z+3/4'
'-x+1/2,y+1/4,z+3/4'
'-x+3/4,y,-z+3/4'
'x+3/4,-y,z+3/4'
'x+1/2,y+1/2,z'
'-x+1/2,-y+1/2,-z'
'-x+3/4,-y+3/4,z'
'x+3/4,y+3/4,-z'
'x+1/2,-y+3/4,-z+1/4'
'-x+1/2,y+3/4,z+1/4'
'-x+3/4,y+1/2,-z+1/4'
'x+3/4,-y+1/2,z+1/4'
loop_
_atom_site_label
_atom_site_type_symbol
_atom_site_fract_x
_atom_site_fract_y
_atom_site_fract_z
K1 K 0.1250 0.1250 0.3047
Si1 Si 0.1250 0.1250 0.6250
Ni1 Ni 0.1250 0.1250 0.1250
S1 S 0.1061 0.2826 0.8243
```

Material: MgSc2Cl
Method: DFT, GGA-PBE
State: relaxed

Calculated volume   94.9 Å³/f.u.
N(E_F)   4.07 states/eV per cell
Uncorrected formation energy   -0.0589 eV/atom
ΔE to the lowest computed polymorph   550.0 meV/atom

```
data_MgSc2Cl
_cell_length_a 4.2264
_cell_length_b 4.2264
_cell_length_c 5.3130
_cell_angle_alpha 90.00
_cell_angle_beta 90.00
_cell_angle_gamma 90.00
_symmetry_space_group_name_H-M 'P 4/m m m'
_symmetry_Int_Tables_number 123
_symmetry_space_group_name_Hall '-P 4 2'
loop_
_atom_site_label
_atom_site_type_symbol
_atom_site_fract_x
_atom_site_fract_y
_atom_site_fract_z
Mg1 Mg 0.0000 0.0000 0.0000
Sc1 Sc 0.0000 0.5000 0.5000
Cl1 Cl 0.5000 0.5000 0.0000
```

Material: LaPmPr2Sb4
Method: DFT, GGA-PBE
State: relaxed

Calculated volume   268.3 Å³/f.u.
N(E_F)   0.85 states/eV per cell
Uncorrected formation energy   -1.2106 eV/atom

```
data_LaPmPr2Sb4
_cell_length_a 7.8958
_cell_length_b 4.5635
_cell_length_c 7.8960
_cell_angle_alpha 90.00
_cell_angle_beta 109.46
_cell_angle_gamma 90.00
_symmetry_space_group_name_H-M 'P 1 2/m 1'
_symmetry_Int_Tables_number 10
loop_
_symmetry_equiv_pos_as_xyz
'x,y,z'
'-x,-y,-z'
'-x,y,-z'
'x,-y,z'
loop_
_atom_site_label
_atom_site_type_symbol
_atom_site_fract_x
_atom_site_fract_y
_atom_site_fract_z
La1 La 0.0000 0.0000 0.0000
Pm1 Pm 0.5000 0.5000 0.0000
Pr1 Pr 0.0000 0.5000 0.5000
Pr2 Pr 0.5000 0.0000 0.5000
Sb1 Sb 0.2534 0.0000 0.7519
Sb2 Sb 0.2530 0.5000 0.2502
```

Material: Pr2TmOs
Method: DFT, GGA-PBE
State: relaxed

Calculated volume   121.9 Å³/f.u.
N(E_F)   15.93 states/eV per cell
ΔE_f   0.43 eV per atom

```
data_Pr2TmOs
_cell_length_a 3.5917
_cell_length_b 3.5917
_cell_length_c 32.7364
_cell_angle_alpha 90.00
_cell_angle_beta 90.00
_cell_angle_gamma 120.00
_symmetry_space_group_name_H-M 'R -3 m'
_symmetry_Int_Tables_number 166
_symmetry_space_group_name_Hall '-R 3 2"'
loop_
_atom_site_label
_atom_site_type_symbol
_atom_site_fract_x
_atom_site_fract_y
_atom_site_fract_z
Pr1 Pr 0.0000 0.0000 0.1051
Tm1 Tm 0.0000 0.0000 0.0000
Os1 Os 0.0000 0.0000 0.5000
```

Material: ReAg2Ir
Method: DFT, GGA-PBE
State: relaxed

Calculated volume   65.1 Å³/f.u.
N(E_F)   4.94 states/eV per cell
ΔE to the lowest computed polymorph   523.7 meV/atom
ΔE_f   0.73 eV per atom

```
data_ReAg2Ir
_cell_length_a 3.7527
_cell_length_b 3.7527
_cell_length_c 4.6222
_cell_angle_alpha 90.00
_cell_angle_beta 90.00
_cell_angle_gamma 90.00
_symmetry_space_group_name_H-M 'P 4/m m m'
_symmetry_Int_Tables_number 123
_symmetry_space_group_name_Hall '-P 4 2'
loop_
_atom_site_label
_atom_site_type_symbol
_atom_site_fract_x
_atom_site_fract_y
_atom_site_fract_z
Re1 Re 0.0000 0.0000 0.0000
Ag1 Ag 0.0000 0.5000 0.5000
Ir1 Ir 0.5000 0.5000 0.0000
```

Material: Tb2NdDy5Th
Method: DFT, GGA-PBE
State: relaxed

Calculated volume   295.1 Å³/f.u.
N(E_F)   59.12 states/eV per cell
ΔE_f   0.17 eV per atom

```
data_Tb2NdDy5Th
_cell_length_a 5.6445
_cell_length_b 20.1140
_cell_length_c 10.3973
_cell_angle_alpha 90.00
_cell_angle_beta 90.00
_cell_angle_gamma 90.00
_symmetry_space_group_name_H-M 'C m c 21'
_symmetry_Int_Tables_number 36
loop_
_symmetry_equiv_pos_as_xyz
'x,y,z'
'-x,-y,z+1/2'
'-x,y,z'
'x,-y,z+1/2'
'x+1/2,y+1/2,z'
'-x+1/2,-y+1/2,z+1/2'
'-x+1/2,y+1/2,z'
'x+1/2,-y+1/2,z+1/2'
loop_
_atom_site_label
_atom_site_type_symbol
_atom_site_fract_x
_atom_site_fract_y
_atom_site_fract_z
Tb1 Tb 0.0000 0.1130 0.0000
Tb2 Tb 0.0000 0.1149 0.4109
Nd1 Nd 0.0000 0.4116 0.1258
Dy1 Dy 0.0000 0.0165 0.7033
Dy2 Dy 0.0000 0.2750 0.9985
Dy3 Dy 0.0000 0.2976 0.3896
Dy4 Dy 0.0000 0.3876 0.7058
Dy5 Dy 0.0000 0.4776 0.4175
Th1 Th 0.0000 0.1995 0.6961
```

Material: CsPrPb2Br8
Method: DFT, GGA-PBE
State: relaxed

Calculated volume   498.2 Å³/f.u.
N(E_F)   0.00 states/eV per cell
Uncorrected formation energy   -1.3542 eV/atom

```
data_CsPrPb2Br8
_cell_length_a 7.0380
_cell_length_b 7.3797
_cell_length_c 9.5935
_cell_angle_alpha 89.75
_cell_angle_beta 89.70
_cell_angle_gamma 88.98
_symmetry_space_group_name_H-M 'P -1'
_symmetry_Int_Tables_number 2
loop_
_symmetry_equiv_pos_as_xyz
'x,y,z'
'-x,-y,-z'
loop_
_atom_site_label
_atom_site_type_symbol
_atom_site_fract_x
_atom_site_fract_y
_atom_site_fract_z
Cs1 Cs 0.0000 0.0000 0.0000
Pr1 Pr 0.0000 0.0000 0.5000
Pb1 Pb 0.4994 0.4999 0.2482
Br1 Br 0.2474 0.3251 0.4996
Br2 Br 0.2511 0.8393 0.7102
Br3 Br 0.2526 0.8410 0.2890
Br4 Br 0.2698 0.3929 0.0020
```

Material: Hg2TePt
Method: DFT, GGA-PBE
State: relaxed

Calculated volume   90.4 Å³/f.u.
N(E_F)   2.51 states/eV per cell
Uncorrected formation energy   0.2546 eV/atom

```
data_Hg2TePt
_cell_length_a 3.9807
_cell_length_b 3.9807
_cell_length_c 5.7042
_cell_angle_alpha 90.00
_cell_angle_beta 90.00
_cell_angle_gamma 90.00
_symmetry_space_group_name_H-M 'P 4/m m m'
_symmetry_Int_Tables_number 123
_symmetry_space_group_name_Hall '-P 4 2'
loop_
_atom_site_label
_atom_site_type_symbol
_atom_site_fract_x
_atom_site_fract_y
_atom_site_fract_z
Hg1 Hg 0.0000 0.0000 0.2399
Te1 Te 0.5000 0.5000 0.5000
Pt1 Pt 0.5000 0.5000 0.0000
```

Material: WSeCl
Method: DFT, GGA-PBE
State: relaxed

Calculated volume   67.6 Å³/f.u.
N(E_F)   1.54 states/eV per cell
Uncorrected formation energy   -0.2750 eV/atom
ΔE to the lowest computed polymorph   208.5 meV/atom

```
data_WSeCl
_cell_length_a 3.2140
_cell_length_b 3.2140
_cell_length_c 7.5555
_cell_angle_alpha 90.00
_cell_angle_beta 90.00
_cell_angle_gamma 120.00
_symmetry_space_group_name_H-M 'P 3 m 1'
_symmetry_Int_Tables_number 156
loop_
_symmetry_equiv_pos_as_xyz
'x,y,z'
'-y,x-y,z'
'-x+y,-x,z'
'-y,-x,z'
'-x+y,y,z'
'x,x-y,z'
loop_
_atom_site_label
_atom_site_type_symbol
_atom_site_fract_x
_atom_site_fract_y
_atom_site_fract_z
W1 W 0.0000 0.0000 0.0000
Se1 Se 0.3333 0.6667 0.7732
Cl1 Cl 0.6667 0.3333 0.2379
```

Material: ThRe3
Method: DFT, GGA-PBE
State: relaxed

Calculated volume   77.0 Å³/f.u.
N(E_F)   27.44 states/eV per cell
ΔE_f   0.01 eV per atom

```
data_ThRe3
_cell_length_a 9.3514
_cell_length_b 5.4395
_cell_length_c 9.4858
_cell_angle_alpha 90.00
_cell_angle_beta 106.68
_cell_angle_gamma 90.00
_symmetry_space_group_name_H-M 'C 1 2/m 1'
_symmetry_Int_Tables_number 12
loop_
_symmetry_equiv_pos_as_xyz
'x,y,z'
'-x,-y,-z'
'-x,y,-z'
'x,-y,z'
'x+1/2,y+1/2,z'
'-x+1/2,-y+1/2,-z'
'-x+1/2,y+1/2,-z'
'x+1/2,-y+1/2,z'
loop_
_atom_site_label
_atom_site_type_symbol
_atom_site_fract_x
_atom_site_fract_y
_atom_site_fract_z
Th1 Th 0.0000 0.0000 0.0000
Th2 Th 0.1443 0.0000 0.4329
Re1 Re 0.0000 0.5000 0.5000
Re2 Re 0.0842 0.5000 0.2555
Re3 Re 0.1427 0.5000 0.9925
Re4 Re 0.1704 0.2417 0.7597
```